# SbTe2IrBr

A geometry-optimized SbTe2IrBr structure (PBE-GGA, the Alexandria database).

Cell lengths 5.427, 5.427, 5.384 Å; angles 90.00, 90.00, 90.00 degrees
Atoms (fractional coordinates):
1 Sb 0.000 0.000 0.000
2 Te 0.000 0.500 0.500
3 Te 0.500 0.000 0.500
4 Ir 0.500 0.500 0.000
5 Br 0.000 0.000 0.500

Values from the calculation:
Fermi-level density of states ... 7.48 states/eV/f.u.
Mass density ... 6.8 g/cm³
Formation energy (no corrections) ... 1759 meV/atom
Raw total energy ... -2.4294 eV/atom